(1)
Below is crystalline Cs3Ce2FeSe6 at its relaxed geometry, with properties calculated at the PBE-GGA level.

```
Cs3Ce2FeSe6
1.0
7.241 -0.005 -0.006
-3.623 6.270 -0.006
-1.212 -2.099 8.337
Se Ce Cs Fe
6 2 3 1
Cartesian
2.152 -0.003 1.460
-0.135 -0.233 6.836
2.540 4.399 1.489
-1.079 1.863 1.460
3.484 2.303 6.865
0.254 4.169 6.865
3.612 2.091 -0.006
0.006 4.174 -0.006
4.752 0.033 4.163
-2.347 4.133 4.163
1.203 2.083 4.163
0.000 0.000 0.000
```

Uncorrected energy (eV for the cell shown): -57.80
Symmetry: C2/m (12)
Magnetic moment (μB per formula unit): 1.07
DOS at the Fermi energy (states/eV per cell): 9.1
Crystal system: monoclinic

=====

(2)
Below is crystalline K2SrSb2 at its relaxed geometry, with properties calculated at the PBE-GGA level.

```
K2SrSb2
1.0
9.800 0.000 0.000
0.000 9.800 0.000
0.000 0.000 3.706
Sr Sb K
2 4 4
Cartesian
4.900 4.900 0.000
0.000 0.000 0.000
6.744 7.955 1.853
7.955 3.055 1.853
1.844 6.744 1.853
3.055 1.844 1.853
8.711 5.988 0.000
5.988 1.088 0.000
1.088 3.811 0.000
3.811 8.711 0.000
```

Uncorrected energy (eV for the cell shown): -27.64
Symmetry: P4/mbm (127)
Magnetic moment (μB per formula unit): 0.00
DOS at the Fermi energy (states/eV per cell): 7.9
E above lowest polymorph (meV per atom): 190
Crystal system: tetragonal

=====

(3)
Below is crystalline Pu2Tl3SbSe6 at its relaxed geometry, with properties calculated at the PBE-GGA level.

```
Pu2Tl3SbSe6
1.0
-0.348 1.358 -7.215
-2.878 -6.192 2.718
-5.650 5.175 2.494
Se Sb Pu Tl
6 1 2 3
Cartesian
-3.531 -2.482 -2.786
-6.538 1.684 -3.117
-1.491 1.184 -2.211
-2.338 -1.344 1.114
-7.385 -0.844 0.209
-5.345 2.822 0.784
0.000 0.000 0.000
-2.034 -3.674 -0.595
-1.192 -1.161 -3.901
-3.600 2.671 -4.291
-4.438 0.170 -1.001
-5.276 -2.330 2.289
```

Uncorrected energy (eV for the cell shown): -71.00
Symmetry: C2/m (12)
Magnetic moment (μB per formula unit): 10.00
DOS at the Fermi energy (states/eV per cell): 20.4
Crystal system: monoclinic

=====

(4)
Below is crystalline Tc2MoS at its relaxed geometry, with properties calculated at the PBE-GGA level.

```
Tc2MoS
1.0
5.539 0.000 0.000
0.000 5.539 0.000
2.770 2.770 5.193
Mo Tc S
2 4 2
Cartesian
5.539 2.770 2.596
0.000 0.000 0.000
6.924 6.770 3.895
4.154 4.308 3.895
1.538 4.154 1.298
4.001 1.385 1.298
2.770 2.770 0.000
2.770 5.539 2.596
```

Uncorrected energy (eV for the cell shown): -66.41
Symmetry: I-42d (122)
Magnetic moment (μB per formula unit): 0.00
DOS at the Fermi energy (states/eV per cell): 4.3
Crystal system: tetragonal